No. 1
DFT (PBEsol) results for an optimized crystal structure of La2ReTcOs.

Unit cell a=5.4144 b=5.4144 c=4.5587 alpha=90.00 beta=90.00 gamma=90.00
With the nearest neighbours (Å) after each atom.
Fractional positions:
La 0.0000 0.5000 0.0000  2 Os 2.71
La 0.5000 0.0000 0.0000  2 Os 2.71
Re 0.0000 0.0000 0.5000  8 La 3.54, 4 Tc 3.83
Tc 0.5000 0.5000 0.5000  2 Os 2.28
Os 0.5000 0.5000 0.0000  2 Tc 2.28

Computed properties:
Formation energy, meV per atom: 1420
Spin magnetization, μB per formula unit: 2.3
Uncorrected energy, eV/cell: -40.41
Space-group type: P4/mmm, No. 123

***

No. 2
DFT (PBEsol) results for an optimized crystal structure of Sc7Cd.

Unit cell a=6.3749 b=6.3749 c=6.3749 alpha=60.00 beta=60.00 gamma=60.00
With the nearest neighbours (Å) after each atom.
Fractional positions:
Sc 0.0000 0.0000 0.0000  12 Sc 3.19
Sc 0.0000 0.0000 0.5000  2 Cd 3.19, 10 Sc 3.19
Sc 0.0000 0.5000 0.0000  2 Cd 3.19, 10 Sc 3.19
Sc 0.0000 0.5000 0.5000  2 Cd 3.19, 10 Sc 3.19
Sc 0.5000 0.0000 0.0000  2 Cd 3.19, 10 Sc 3.19
Sc 0.5000 0.0000 0.5000  2 Cd 3.19, 10 Sc 3.19
Sc 0.5000 0.5000 0.0000  2 Cd 3.19, 10 Sc 3.19
Cd 0.5000 0.5000 0.5000  12 Sc 3.19

Computed properties:
Formation energy, meV per atom: -21
Spin magnetization, μB per formula unit: 0.0
Uncorrected energy, eV/cell: -47.60
Space-group type: Fm-3m, No. 225

***

No. 3
DFT (PBEsol) results for an optimized crystal structure of PrScSi.

Unit cell a=8.4257 b=8.4257 c=8.4257 alpha=150.71 beta=150.71 gamma=41.90
With the nearest neighbours (Å) after each atom.
Fractional positions:
Pr 0.1767 0.1767 0.0000  5 Si 3.14-3.18, 4 Sc 3.50
Pr 0.8233 0.8233 0.0000  5 Si 3.14-3.18, 4 Sc 3.50
Sc 0.0000 0.5000 0.5000  4 Si 2.86, 4 Sc 3.01
Sc 0.5000 0.0000 0.5000  4 Si 2.86, 4 Sc 3.01
Si 0.3790 0.3790 0.0000  4 Sc 2.86, 5 Pr 3.14-3.18
Si 0.6210 0.6210 0.0000  4 Sc 2.86, 5 Pr 3.14-3.18

Computed properties:
Spin magnetization, μB per formula unit: 0.5
Uncorrected energy, eV/cell: -38.89
Space-group type: I4/mmm, No. 139
Formation energy (no corrections), eV per atom: -0.64

***

No. 4
DFT (PBEsol) results for an optimized crystal structure of YZrMo2N.

Unit cell a=4.1534 b=4.1534 c=4.7281 alpha=90.00 beta=90.00 gamma=90.00
With the nearest neighbours (Å) after each atom.
Fractional positions:
Y 0.0000 0.0000 0.0000  2 N 2.36
Zr 0.5000 0.5000 0.0000  4 Y 2.94, 8 Mo 3.15
Mo 0.0000 0.5000 0.5000  2 N 2.08
Mo 0.5000 0.0000 0.5000  2 N 2.08
N 0.0000 0.0000 0.5000  4 Mo 2.08

Computed properties:
Spin magnetization, μB per formula unit: 0.0
Uncorrected energy, eV/cell: -49.33
Space-group type: P4/mmm, No. 123
Formation energy (no corrections), eV per atom: -0.27

***

No. 5
DFT (PBEsol) results for an optimized crystal structure of LiSb2Pd2.

Unit cell a=5.4103 b=5.4103 c=5.4103 alpha=123.40 beta=123.40 gamma=84.20
With the nearest neighbours (Å) after each atom.
Fractional positions:
Li 0.0000 0.0000 0.0000  2 Pd 2.72
Sb 0.2500 0.7500 0.5000  4 Pd 2.66
Sb 0.7500 0.2500 0.5000  4 Pd 2.66
Pd 0.3387 0.3387 0.0000  1 Pd 2.59, 4 Sb 2.66, 1 Li 2.72
Pd 0.6613 0.6613 0.0000  1 Pd 2.59, 4 Sb 2.66, 1 Li 2.72

Computed properties:
Spin magnetization, μB per formula unit: 0.0
Uncorrected energy, eV/cell: -24.22
Space-group type: I4/mmm, No. 139
Formation energy (no corrections), eV per atom: -0.24

***

No. 6
DFT (PBEsol) results for an optimized crystal structure of ZnCr2Ru.

Unit cell a=3.5964 b=3.5964 c=3.7695 alpha=90.00 beta=90.00 gamma=90.00
With the nearest neighbours (Å) after each atom.
Fractional positions:
Zn 0.0000 0.0000 0.0000  4 Ru 2.54, 8 Cr 2.60
Cr 0.0000 0.5000 0.5000  4 Cr 2.54, 4 Ru 2.60, 4 Zn 2.60
Cr 0.5000 0.0000 0.5000  4 Cr 2.54, 4 Ru 2.60, 4 Zn 2.60
Ru 0.5000 0.5000 0.0000  4 Zn 2.54, 8 Cr 2.60

Computed properties:
Formation energy, meV per atom: 247
Spin magnetization, μB per formula unit: 0.0
Uncorrected energy, eV/cell: -31.25
Space-group type: P4/mmm, No. 123

***

No. 7
DFT (PBEsol) results for an optimized crystal structure of Al2AgIBr.

Unit cell a=5.1511 b=5.1511 c=5.3411 alpha=90.00 beta=90.00 gamma=90.00
With the nearest neighbours (Å) after each atom.
Fractional positions:
Al 0.0000 0.5000 0.0000  2 Ag 2.58
Al 0.5000 0.0000 0.0000  2 Ag 2.58
Ag 0.0000 0.0000 0.0000  4 Al 2.58, 2 I 2.67
I 0.0000 0.0000 0.5000  2 Ag 2.67
Br 0.5000 0.5000 0.5000  4 I 3.64, 8 Al 3.71

Computed properties:
Spin magnetization, μB per formula unit: 0.0
Uncorrected energy, eV/cell: -13.86
Space-group type: P4/mmm, No. 123
Formation energy (no corrections), eV per atom: 0.25

***

No. 8
DFT (PBEsol) results for an optimized crystal structure of CaRuBr3.

Unit cell a=5.4537 b=5.4537 c=5.4537 alpha=90.00 beta=90.00 gamma=90.00
With the nearest neighbours (Å) after each atom.
Fractional positions:
Ca 0.0000 0.0000 0.0000  6 Br 2.73
Ru 0.5000 0.5000 0.5000  12 Br 3.86
Br 0.0000 0.0000 0.5000  2 Ca 2.73
Br 0.0000 0.5000 0.0000  2 Ca 2.73
Br 0.5000 0.0000 0.0000  2 Ca 2.73

Computed properties:
Spin magnetization, μB per formula unit: 3.1
Uncorrected energy, eV/cell: -17.98
Space-group type: Pm-3m, No. 221
Formation energy (no corrections), eV per atom: -0.01

***

No. 9
DFT (PBEsol) results for an optimized crystal structure of Tl3CrF6.

Unit cell a=6.3090 b=6.3090 c=6.3090 alpha=60.00 beta=60.00 gamma=60.00
With the nearest neighbours (Å) after each atom.
Fractional positions:
Tl 0.0000 0.0000 0.0000  6 F 2.56
Tl 0.2500 0.2500 0.2500  12 F 3.17
Tl 0.7500 0.7500 0.7500  12 F 3.17
Cr 0.5000 0.5000 0.5000  6 F 1.90
F 0.2867 0.2867 0.7133  1 Cr 1.90
F 0.2867 0.7133 0.2867  1 Cr 1.90
F 0.2867 0.7133 0.7133  1 Cr 1.90
F 0.7133 0.2867 0.2867  1 Cr 1.90
F 0.7133 0.2867 0.7133  1 Cr 1.90
F 0.7133 0.7133 0.2867  1 Cr 1.90

Computed properties:
Spin magnetization, μB per formula unit: 3.0
Uncorrected energy, eV/cell: -50.61
Space-group type: Fm-3m, No. 225
Formation energy (no corrections), eV per atom: -2.09

***

No. 10
DFT (PBEsol) results for an optimized crystal structure of ZrZn2.

Unit cell a=5.1477 b=5.1477 c=5.1477 alpha=60.00 beta=60.00 gamma=60.00
With the nearest neighbours (Å) after each atom.
Fractional positions:
Zr 0.1250 0.1250 0.1250  12 Zn 3.02, 4 Zr 3.15
Zr 0.8750 0.8750 0.8750  12 Zn 3.02, 4 Zr 3.15
Zn 0.0000 0.5000 0.5000  6 Zn 2.57
Zn 0.5000 0.0000 0.5000  6 Zn 2.57
Zn 0.5000 0.5000 0.0000  6 Zn 2.57
Zn 0.5000 0.5000 0.5000  6 Zn 2.57

Computed properties:
Formation energy, meV per atom: -321
Spin magnetization, μB per formula unit: 0.8
Uncorrected energy, eV/cell: -26.43
Space-group type: Fd-3m, No. 227

***

No. 11
DFT (PBEsol) results for an optimized crystal structure of La3Mg.

Unit cell a=5.0219 b=5.0219 c=5.0219 alpha=90.00 beta=90.00 gamma=90.00
With the nearest neighbours (Å) after each atom.
Fractional positions:
La 0.0000 0.0000 0.5000  8 La 3.55, 4 Mg 3.55
La 0.0000 0.5000 0.0000  8 La 3.55, 4 Mg 3.55
La 0.5000 0.0000 0.0000  8 La 3.55, 4 Mg 3.55
Mg 0.5000 0.5000 0.5000  12 La 3.55

Computed properties:
Formation energy, meV per atom: -24
Spin magnetization, μB per formula unit: 0.0
Uncorrected energy, eV/cell: -17.85
Space-group type: Pm-3m, No. 221

***

No. 12
DFT (PBEsol) results for an optimized crystal structure of Ga2ReHPt.

Unit cell a=4.2367 b=4.2367 c=3.3910 alpha=90.00 beta=90.00 gamma=90.00
With the nearest neighbours (Å) after each atom.
Fractional positions:
Ga 0.0000 0.5000 0.0000  2 H 2.12
Ga 0.5000 0.0000 0.0000  2 H 2.12
Re 0.0000 0.0000 0.5000  8 Ga 2.71, 4 Pt 3.00
H 0.5000 0.5000 0.0000  2 Pt 1.70
Pt 0.5000 0.5000 0.5000  2 H 1.70

Computed properties:
Spin magnetization, μB per formula unit: 0.0
Uncorrected energy, eV/cell: -30.01
Space-group type: P4/mmm, No. 123